Record 1
This record from Alexandria via LeMat-Bulk describes a geometry-optimized BeIn2As2 structure. The functional is PBE.

Lattice parameters (Å, degrees): 6.0642 6.0642 5.9143 90.00 90.00 90.00
Last column: nearest neighbours and their distance in Å.
Atoms (fractional coordinates):
Be 0.0000 0.0000 0.0000  4 As 2.33
Be 0.5000 0.5000 0.0000  4 As 2.33
In 0.1881 0.3119 0.5000  2 As 2.98, 5 In 3.12-3.23
In 0.8119 0.6881 0.5000  2 As 2.98, 5 In 3.12-3.23
In 0.6881 0.1881 0.5000  2 As 2.98, 5 In 3.12-3.23
In 0.3119 0.8119 0.5000  2 As 2.98, 5 In 3.12-3.23
As 0.3576 0.8576 0.0000  2 Be 2.33, 1 As 2.44
As 0.6424 0.1424 0.0000  2 Be 2.33, 1 As 2.44
As 0.1424 0.3576 0.0000  2 Be 2.33, 1 As 2.44
As 0.8576 0.6424 0.0000  2 Be 2.33, 1 As 2.44

Results
Total moment = 0.00 μB per formula unit
Crystal system = tetragonal
ΔE_f = 0.060 eV per atom


Record 2
This record from Alexandria via LeMat-Bulk describes a geometry-optimized BeIn2As structure. The functional is PBE.

Lattice parameters (Å, degrees): 4.7822 6.0996 3.9971 66.56 80.55 118.13
Last column: nearest neighbours and their distance in Å.
Atoms (fractional coordinates):
In 0.0000 0.0000 0.0000  2 Be 2.85, 2 As 2.85, 2 In 2.91
In 0.0000 0.5000 0.5000  2 As 2.85, 2 Be 2.85, 2 In 2.91
Be 0.5000 0.0000 0.5000  4 In 2.85, 2 As 2.91
As 0.5000 0.5000 0.0000  4 In 2.85, 2 Be 2.91

Results
E above lowest polymorph = 0.334 eV per atom
Total moment = 0.00 μB per formula unit
Crystal system = monoclinic
ΔE_f = 0.438 eV per atom


Record 3
This record from Alexandria via LeMat-Bulk describes a geometry-optimized BeIn2As structure. The functional is PBE.

Lattice parameters (Å, degrees): 4.9551 4.9551 4.9551 60.00 60.00 60.00
Last column: nearest neighbours and their distance in Å.
Atoms (fractional coordinates):
In 0.7500 0.7500 0.7500  4 As 3.03, 4 Be 3.03
In 0.2500 0.2500 0.2500  4 As 3.03, 4 Be 3.03
Be 0.0000 0.0000 0.0000  8 In 3.03
As 0.5000 0.5000 0.5000  8 In 3.03

Results
E above lowest polymorph = 0.410 eV per atom
Total moment = 0.00 μB per formula unit
Crystal system = cubic
ΔE_f = 0.514 eV per atom


Record 4
This record from Alexandria via LeMat-Bulk describes a geometry-optimized BeInAs structure. The functional is PBE.

Lattice parameters (Å, degrees): 3.8256 3.8256 4.9084 90.00 90.00 120.00
Last column: nearest neighbours and their distance in Å.
Atoms (fractional coordinates):
Be 0.3333 0.6667 0.1678  3 As 2.21
As 0.0000 0.0000 0.1658  3 Be 2.21
In 0.6667 0.3333 0.6664  6 Be 3.30-3.31, 6 As 3.30

Results
E above lowest polymorph = 0.028 eV per atom
Total moment = 0.00 μB per formula unit
Crystal system = trigonal
ΔE_f = -0.003 eV per atom


Record 5
This record from Alexandria via LeMat-Bulk describes a geometry-optimized Be4InAs structure. The functional is PBE.

Lattice parameters (Å, degrees): 4.7842 4.7842 4.7842 60.00 60.00 60.00
Last column: nearest neighbours and their distance in Å.
Atoms (fractional coordinates):
Be 0.3743 0.3743 0.3743  6 Be 2.38-2.40
Be 0.3743 0.8770 0.3743  6 Be 2.38-2.40
Be 0.8770 0.3743 0.3743  6 Be 2.38-2.40
Be 0.3743 0.3743 0.8770  6 Be 2.38-2.40
As 0.0000 0.0000 0.0000  12 Be 2.80, 4 In 2.93
In 0.7500 0.7500 0.7500  12 Be 2.81, 4 As 2.93

Results
Total moment = 0.00 μB per formula unit
Crystal system = cubic
ΔE_f = 0.466 eV per atom


Record 6
This record from Alexandria via LeMat-Bulk describes a geometry-optimized Be2In2As structure. The functional is PBE.

Lattice parameters (Å, degrees): 3.0221 3.0221 10.3406 81.60 81.60 90.00
Last column: nearest neighbours and their distance in Å.
Atoms (fractional coordinates):
In 0.6232 0.6232 0.7535  4 Be 2.98, 4 In 3.02, 4 As 3.28
In 0.3768 0.3768 0.2465  4 Be 2.98, 4 In 3.02, 4 As 3.28
Be 0.7500 0.2500 0.5000  4 Be 2.14
Be 0.2500 0.7500 0.5000  4 Be 2.14
As 0.0000 0.0000 0.0000  4 As 3.02, 8 In 3.28

Results
E above lowest polymorph = 0.000 eV per atom
Total moment = 0.00 μB per formula unit
Crystal system = tetragonal
ΔE_f = 0.460 eV per atom


Record 7
This record from Alexandria via LeMat-Bulk describes a geometry-optimized BeIn2As structure. The functional is PBE.

Lattice parameters (Å, degrees): 4.1589 5.0715 3.9887 90.00 90.00 90.00
Last column: nearest neighbours and their distance in Å.
Atoms (fractional coordinates):
In 0.0000 0.0000 0.0000  4 As 2.88, 4 Be 3.23
In 0.5000 0.5000 0.0000  4 Be 2.88, 4 As 3.23
Be 0.0000 0.5000 0.5000  8 In 2.88-3.23
As 0.5000 0.0000 0.5000  8 In 2.88-3.23

Results
E above lowest polymorph = 0.365 eV per atom
Total moment = 0.00 μB per formula unit
Crystal system = orthorhombic
ΔE_f = 0.469 eV per atom


Record 8
This record from Alexandria via LeMat-Bulk describes a geometry-optimized BeIn2As structure. The functional is PBE.

Lattice parameters (Å, degrees): 3.6447 2.8297 7.9444 90.01 90.00 90.00
Last column: nearest neighbours and their distance in Å.
Atoms (fractional coordinates):
In 0.0000 0.2506 0.5347  2 In 2.83, 4 Be 2.87, 2 As 2.90
In 0.0000 0.2494 0.9653  2 In 2.83, 4 Be 2.87, 2 As 2.90
As 0.5000 0.2500 0.2500  2 As 2.83, 4 In 2.90
Be 0.5000 0.7500 0.7500  2 Be 2.83, 8 In 2.87

Results
E above lowest polymorph = 0.232 eV per atom
Total moment = 0.00 μB per formula unit
Crystal system = orthorhombic
ΔE_f = 0.336 eV per atom


Record 9
This record from Alexandria via LeMat-Bulk describes a geometry-optimized BeInAs structure. The functional is PBE.

Lattice parameters (Å, degrees): 6.6088 6.3527 3.2445 79.93 71.16 28.91
Last column: nearest neighbours and their distance in Å.
Atoms (fractional coordinates):
As 0.9503 0.9503 0.0497  2 Be 2.17
Be 0.3631 0.3631 0.6369  2 As 2.17
In 0.6866 0.6866 0.3134  2 Be 2.86, 1 As 3.20

Results
E above lowest polymorph = 0.334 eV per atom
Total moment = 0.00 μB per formula unit
Crystal system = orthorhombic
ΔE_f = 0.304 eV per atom


Record 10
This record from Alexandria via LeMat-Bulk describes a geometry-optimized BeInAs structure. The functional is PBE.

Lattice parameters (Å, degrees): 3.7406 3.6243 8.6810 90.00 89.99 90.00
Last column: nearest neighbours and their distance in Å.
Atoms (fractional coordinates):
In 0.7498 0.7500 0.6268  4 As 3.18, 4 In 3.41
In 0.2502 0.2500 0.3732  4 As 3.18, 4 In 3.41
As 0.2499 0.2500 0.8378  4 Be 2.31-2.33
As 0.7501 0.7500 0.1622  4 Be 2.31-2.33
Be 0.7499 0.2500 0.9940  4 As 2.31-2.33
Be 0.2501 0.7500 0.0060  4 As 2.31-2.33

Results
E above lowest polymorph = 0.000 eV per atom
Total moment = 0.00 μB per formula unit
Crystal system = orthorhombic
ΔE_f = -0.031 eV per atom


Record 11
This record from Alexandria via LeMat-Bulk describes a geometry-optimized BeInAs structure. The functional is PBE.

Lattice parameters (Å, degrees): 4.3568 4.3568 4.3568 60.00 60.00 60.00
Last column: nearest neighbours and their distance in Å.
Atoms (fractional coordinates):
Be 0.7500 0.7500 0.7500  4 As 2.67, 4 In 2.67
As 0.5000 0.5000 0.5000  4 Be 2.67
In 0.0000 0.0000 0.0000  4 Be 2.67

Results
E above lowest polymorph = 0.283 eV per atom
Total moment = 0.00 μB per formula unit
Crystal system = cubic
ΔE_f = 0.252 eV per atom


Record 12
This record from Alexandria via LeMat-Bulk describes a geometry-optimized BeIn2As structure. The functional is PBE.

Lattice parameters (Å, degrees): 3.1791 3.1791 8.0490 90.00 90.00 97.46
Last column: nearest neighbours and their distance in Å.
Atoms (fractional coordinates):
Be 0.5000 0.5000 0.7500  8 In 2.72-2.95
As 0.5000 0.5000 0.2500  8 In 3.10-3.31, 4 As 3.18
In 0.0000 0.0000 0.5342  4 Be 2.72-2.95
In 0.0000 0.0000 0.9658  4 Be 2.72-2.95

Results
E above lowest polymorph = 0.321 eV per atom
Total moment = 0.00 μB per formula unit
Crystal system = orthorhombic
ΔE_f = 0.425 eV per atom